Computed, not measured: a geometry-optimized CrMoF2 structure at the GGA+U level of DFT.

a = 4.436 Å, b = 4.436 Å, c = 4.436 Å
α = 60.00°, β = 60.00°, γ = 60.00°
Each line ends with the local moment (μB).
Fractional coordinates of all 4 atoms:
F 0.750 0.750 0.750  0.11
F 0.250 0.250 0.250  0.11
Cr 0.000 0.000 0.000  4.53
Mo 0.500 0.500 0.500  4.17

Volume   15.43 Å³/atom
E   -5.23 eV per atom
Offset from the most stable computed form   157 meV/atom
DOS(E_F)   1.14 states/eV per cell
Total moment   9.9 μB per cell